Compound: MgTi2Pb2
Source: Alexandria via LeMat-Bulk
Functional: GGA-PBE
Structure: relaxed

a = 7.7479 Å, b = 7.7479 Å, c = 3.7316 Å
α = 90.00°, β = 90.00°, γ = 90.00°
Space group P4/mbm (No. 127)
Inequivalent atoms, fractional coordinates:
Mg 0.0000 0.0000 0.0000
Ti 0.1219 0.3781 0.0000
Pb 0.1776 0.6776 0.5000

The crystal system is tetragonal. The value obtained for the energy above the most stable polymorph in this dataset is 6.7 meV/atom. The calculation puts the energy relative to the elements at 126 meV per atom.



Compound: InAgI5
Source: Alexandria via LeMat-Bulk
Functional: GGA-PBE
Structure: relaxed

a = 19.0586 Å, b = 7.3156 Å, c = 11.4451 Å
α = 90.00°, β = 125.35°, γ = 90.00°
Space group C2/c (No. 15)
Inequivalent atoms, fractional coordinates:
In 0.0000 0.0000 0.0000
Ag 0.0000 0.3693 0.2500
I 0.0000 0.2094 0.7500
I 0.1252 0.2634 0.5423
I 0.1288 0.2492 0.2078

The crystal system is monoclinic. The energy relative to the elements, uncorrected is -0.2361 eV per atom.



Compound: In2SbP
Source: Alexandria via LeMat-Bulk
Functional: GGA-PBE
Structure: relaxed

a = 6.4711 Å, b = 7.7118 Å, c = 3.8893 Å
α = 90.00°, β = 90.00°, γ = 90.00°
Space group Cmmm (No. 65)
Inequivalent atoms, fractional coordinates:
In 0.2500 0.2500 0.0000
Sb 0.0000 0.0000 0.5000
P 0.0000 0.5000 0.5000

The crystal system is orthorhombic. The energy relative to the elements, uncorrected is 0.2884 eV per atom. The value obtained for the energy above the most stable polymorph in this dataset is 431.6 meV/atom.



Compound: SmDy2Mg2
Source: Alexandria via LeMat-Bulk
Functional: GGA-PBE
Structure: relaxed

a = 3.5306 Å, b = 5.4904 Å, c = 30.4222 Å
α = 90.00°, β = 90.00°, γ = 90.00°
Space group Imma (No. 74)
Inequivalent atoms, fractional coordinates:
Sm 0.0000 0.2500 0.0783
Dy 0.0000 0.2500 0.3057
Dy 0.0000 0.2500 0.7945
Mg 0.0000 0.2500 0.5217
Mg 0.0000 0.2500 0.6179

The crystal system is orthorhombic. The value obtained for the energy above the most stable polymorph in this dataset is 137.9 meV/atom. The calculation puts the energy relative to the elements at 69 meV per atom.



no.,raw total energy (eV per atom)
1,-4.8339
2,-2.1419
3,-3.4639
4,-3.3538